Here is a relaxed NpUPdRh crystal from Alexandria via LeMat-Bulk. Energies are from PBE.

abc: 4.6449 4.6449 4.6449
angles: 60.00 60.00 60.00
Fractional coordinates of all 4 atoms:
Np: 0.0000 0.0000 0.0000
U: 0.7500 0.7500 0.7500
Pd: 0.2500 0.2500 0.2500
Rh: 0.5000 0.5000 0.5000

Properties
ΔE_f ... -0.483 eV per atom
Space-group type ... F-43m, No. 216
VASP energy ... -9.6768 eV/atom

***

Here is a relaxed SrLi2Hg4Pd crystal from Alexandria via LeMat-Bulk. Energies are from PBE.

abc: 9.9970 9.9970 9.9970
angles: 27.08 27.08 27.08
Fractional coordinates of all 8 atoms:
Sr: 0.0000 0.0000 0.0000
Li: 0.2253 0.2253 0.2253
Li: 0.7747 0.7747 0.7747
Hg: 0.1280 0.1280 0.1280
Hg: 0.4010 0.4010 0.4010
Hg: 0.5990 0.5990 0.5990
Hg: 0.8720 0.8720 0.8720
Pd: 0.5000 0.5000 0.5000

Properties
ΔE_f ... -0.389 eV per atom
Space-group type ... R-3m, No. 166
VASP energy ... -1.8781 eV/atom

***

Here is a relaxed Cs2BiIrBr6 crystal from Alexandria via LeMat-Bulk. Energies are from PBE.

abc: 7.8792 7.8792 7.8792
angles: 120.11 120.11 89.81
Fractional coordinates of all 10 atoms:
Cs: 0.2500 0.7500 0.5000
Cs: 0.7500 0.2500 0.5000
Bi: 0.0000 0.0000 0.0000
Ir: 0.5000 0.5000 0.0000
Br: 0.2671 0.2671 0.0000
Br: 0.2673 0.2673 0.5346
Br: 0.2673 0.7327 0.0000
Br: 0.7327 0.2673 0.0000
Br: 0.7329 0.7329 0.0000
Br: 0.7327 0.7327 0.4654

Properties
Energy relative to the elements, uncorrected ... -0.830 eV per atom
Space-group type ... I4/mmm, No. 139
VASP energy ... -3.2789 eV/atom

***

Here is a relaxed Rb3SrCl crystal from Alexandria via LeMat-Bulk. Energies are from PBE.

abc: 8.3127 8.3127 8.3127
angles: 90.00 90.00 90.00
Fractional coordinates of all 5 atoms:
Rb: 0.0000 0.0000 0.5000
Rb: 0.0000 0.5000 0.0000
Rb: 0.5000 0.0000 0.0000
Sr: 0.0000 0.0000 0.0000
Cl: 0.5000 0.5000 0.5000

Properties
Energy relative to the elements, uncorrected ... 0.052 eV per atom
Energy above the most stable polymorph in this dataset ... 0.648 eV per atom
Space-group type ... Pm-3m, No. 221
VASP energy ... -1.2347 eV/atom

***

Here is a relaxed CuW2Br crystal from Alexandria via LeMat-Bulk. Energies are from PBE.

abc: 4.5188 4.5188 4.5188
angles: 60.00 60.00 60.00
Fractional coordinates of all 4 atoms:
Cu: 0.0000 0.0000 0.0000
W: 0.2500 0.2500 0.2500
W: 0.5000 0.5000 0.5000
Br: 0.7500 0.7500 0.7500

Properties
Energy relative to the elements, uncorrected ... 1.168 eV per atom
Energy above the most stable polymorph in this dataset ... 0.641 eV per atom
Space-group type ... F-43m, No. 216
VASP energy ... -6.7513 eV/atom

***

Here is a relaxed Li5InSe4 crystal from Alexandria via LeMat-Bulk. Energies are from PBE.

abc: 8.4097 8.6740 6.2051
angles: 90.00 90.00 90.00
Fractional coordinates of all 20 atoms:
Li: 0.0117 0.0350 0.2504
Li: 0.0117 0.4650 0.2504
Li: 0.2500 0.7500 0.2125
Li: 0.4883 0.0350 0.2504
Li: 0.4883 0.4650 0.2504
Li: 0.5117 0.5350 0.7496
Li: 0.5117 0.9650 0.7496
Li: 0.7500 0.2500 0.7875
Li: 0.9883 0.5350 0.7496
Li: 0.9883 0.9650 0.7496
In: 0.2500 0.2500 0.7610
In: 0.7500 0.7500 0.2390
Se: 0.0114 0.7500 0.4624
Se: 0.2500 0.5040 0.9862
Se: 0.2500 0.9960 0.9862
Se: 0.4886 0.7500 0.4624
Se: 0.5114 0.2500 0.5376
Se: 0.7500 0.0040 0.0138
Se: 0.7500 0.4960 0.0138
Se: 0.9886 0.2500 0.5376

Properties
Energy relative to the elements, uncorrected ... -1.078 eV per atom
Space-group type ... Pmmn, No. 59
VASP energy ... -3.7024 eV/atom

***

Here is a relaxed TbNd2ScS6 crystal from Alexandria via LeMat-Bulk. Energies are from PBE.

abc: 7.2938 7.2938 7.2938
angles: 57.09 57.09 57.09
Fractional coordinates of all 10 atoms:
Tb: 0.0000 0.0000 0.0000
Nd: 0.2910 0.2910 0.2910
Nd: 0.7929 0.7929 0.7929
Sc: 0.4971 0.4971 0.4971
S: 0.1285 0.3793 0.7072
S: 0.2252 0.8621 0.6180
S: 0.3793 0.7072 0.1285
S: 0.6180 0.2252 0.8621
S: 0.7072 0.1285 0.3793
S: 0.8621 0.6180 0.2252

Properties
Energy relative to the elements, uncorrected ... -1.982 eV per atom
Space-group type ... R3, No. 146
VASP energy ... -6.5081 eV/atom

***

Here is a relaxed PmAgO2 crystal from Alexandria via LeMat-Bulk. Energies are from PBE.

abc: 6.6214 6.6214 6.6214
angles: 32.37 32.37 32.37
Fractional coordinates of all 4 atoms:
Pm: 0.0000 0.0000 0.0000
Ag: 0.5000 0.5000 0.5000
O: 0.3895 0.3895 0.3895
O: 0.6105 0.6105 0.6105

Properties
Energy relative to the elements, uncorrected ... -2.171 eV per atom
Energy above the most stable polymorph in this dataset ... 0.000 eV per atom
Space-group type ... R-3m, No. 166
VASP energy ... -6.5504 eV/atom

***

Here is a relaxed NaLaEr2Se4 crystal from Alexandria via LeMat-Bulk. Energies are from PBE.

abc: 7.1601 4.1047 7.3051
angles: 90.00 108.77 90.00
Fractional coordinates of all 8 atoms:
Na: 0.0000 0.0000 0.0000
La: 0.5000 0.5000 0.0000
Er: 0.0000 0.5000 0.5000
Er: 0.5000 0.0000 0.5000
Se: 0.2390 0.0000 0.7330
Se: 0.2531 0.5000 0.2668
Se: 0.7469 0.5000 0.7332
Se: 0.7610 0.0000 0.2670

Properties
Energy relative to the elements, uncorrected ... -1.770 eV per atom
Space-group type ... P2/m, No. 10
VASP energy ... -5.4337 eV/atom

***

Here is a relaxed BaCa2GeCl8 crystal from Alexandria via LeMat-Bulk. Energies are from PBE.

abc: 6.4841 8.6183 6.6440
angles: 90.00 90.56 90.00
Fractional coordinates of all 12 atoms:
Ba: 0.0000 0.0000 0.0000
Ca: 0.5000 0.2612 0.5000
Ca: 0.5000 0.7388 0.5000
Ge: 0.0000 0.5000 0.0000
Cl: 0.2326 0.2787 0.1736
Cl: 0.2326 0.7213 0.1736
Cl: 0.2736 0.5000 0.6769
Cl: 0.2889 0.0000 0.6409
Cl: 0.7111 0.0000 0.3591
Cl: 0.7264 0.5000 0.3231
Cl: 0.7674 0.2787 0.8264
Cl: 0.7674 0.7213 0.8264

Properties
Energy relative to the elements, uncorrected ... -1.989 eV per atom
Space-group type ... P2/m, No. 10
VASP energy ... -4.0987 eV/atom

***

Here is a relaxed HgOs2Cl crystal from Alexandria via LeMat-Bulk. Energies are from PBE.

abc: 2.9169 2.9169 9.2808
angles: 90.00 90.00 123.03
Fractional coordinates of all 4 atoms:
Hg: 0.0000 0.0000 0.0000
Os: 0.5000 0.5000 0.2682
Os: 0.5000 0.5000 0.7318
Cl: 0.0000 0.0000 0.5000

Properties
Energy relative to the elements, uncorrected ... 1.135 eV per atom
Energy above the most stable polymorph in this dataset ... 0.782 eV per atom
Space-group type ... Cmmm, No. 65
VASP energy ... -5.0165 eV/atom

***

Here is a relaxed ZnInMo crystal from Alexandria via LeMat-Bulk. Energies are from PBE.

abc: 5.3944 5.3944 5.3944
angles: 148.84 139.35 52.09
Fractional coordinates of all 3 atoms:
Zn: 0.0000 0.0000 0.0000
In: 0.6812 0.6812 0.0000
Mo: 0.3648 0.3648 0.0000

Properties
Energy above the most stable polymorph in this dataset ... 0.014 eV per atom
ΔE_f ... 0.351 eV per atom
Space-group type ... Imm2, No. 44
VASP energy ... -4.5965 eV/atom

***

Here is a relaxed TlIn3 crystal from Alexandria via LeMat-Bulk. Energies are from PBE.

abc: 3.5024 3.5024 9.1668
angles: 90.00 90.00 90.00
Fractional coordinates of all 4 atoms:
Tl: 0.0000 0.0000 0.0000
In: 0.0000 0.0000 0.5000
In: 0.5000 0.5000 0.2592
In: 0.5000 0.5000 0.7408

Properties
ΔE_f ... 0.015 eV per atom
Space-group type ... P4/mmm, No. 123
VASP energy ... -2.6300 eV/atom

***

Here is a relaxed OsRu2F crystal from Alexandria via LeMat-Bulk. Energies are from PBE.

abc: 5.3435 5.3435 5.3435
angles: 107.70 107.70 113.08
Fractional coordinates of all 8 atoms:
Os: 0.0000 0.0000 0.0000
Os: 0.7500 0.2500 0.5000
Ru: 0.1381 0.6250 0.0131
Ru: 0.3750 0.3881 0.5131
Ru: 0.6119 0.1250 0.9869
Ru: 0.8750 0.8619 0.4869
F: 0.2500 0.7500 0.5000
F: 0.5000 0.5000 0.0000

Properties
Energy relative to the elements, uncorrected ... 0.532 eV per atom
Space-group type ... I-42d, No. 122
VASP energy ... -7.3812 eV/atom

***

Here is a relaxed Cu2IN crystal from Alexandria via LeMat-Bulk. Energies are from PBE.

abc: 6.3447 6.3447 6.3447
angles: 131.49 131.49 71.04
Fractional coordinates of all 8 atoms:
Cu: 0.3750 0.2200 0.3450
Cu: 0.7800 0.1250 0.1550
Cu: 0.8750 0.0300 0.6550
Cu: 0.9700 0.6250 0.8450
I: 0.2500 0.7500 0.5000
I: 0.5000 0.5000 0.0000
N: 0.0000 0.0000 0.0000
N: 0.7500 0.2500 0.5000

Properties
Energy relative to the elements, uncorrected ... 0.451 eV per atom
Energy above the most stable polymorph in this dataset ... 0.000 eV per atom
Space-group type ... I-42d, No. 122
VASP energy ... -4.0659 eV/atom

***

Here is a relaxed Rb2SnHg crystal from Alexandria via LeMat-Bulk. Energies are from PBE.

abc: 7.9325 7.9325 7.9325
angles: 100.14 100.14 130.38
Fractional coordinates of all 8 atoms:
Rb: 0.0970 0.1250 0.4720
Rb: 0.3750 0.9030 0.0280
Rb: 0.6530 0.6250 0.5280
Rb: 0.8750 0.3470 0.9720
Sn: 0.2500 0.7500 0.5000
Sn: 0.5000 0.5000 0.0000
Hg: 0.0000 0.0000 0.0000
Hg: 0.7500 0.2500 0.5000

Properties
ΔE_f ... 0.060 eV per atom
Space-group type ... I-42d, No. 122
VASP energy ... -1.5000 eV/atom

***

Here is a relaxed LaPrErSc crystal from Alexandria via LeMat-Bulk. Energies are from PBE.

abc: 5.6593 5.6593 5.6593
angles: 60.00 60.00 60.00
Fractional coordinates of all 4 atoms:
La: 0.0000 0.0000 0.0000
Pr: 0.5000 0.5000 0.5000
Er: 0.2500 0.2500 0.2500
Sc: 0.7500 0.7500 0.7500

Properties
Energy above the most stable polymorph in this dataset ... 0.000 eV per atom
ΔE_f ... 0.083 eV per atom
Space-group type ... F-43m, No. 216
VASP energy ... -5.0670 eV/atom

***

Here is a relaxed Cs4Rb7Pt crystal from Alexandria via LeMat-Bulk. Energies are from PBE.

abc: 9.0076 9.0076 18.8120
angles: 102.34 102.34 44.24
Fractional coordinates of all 12 atoms:
Cs: 0.0493 0.0493 0.3395
Cs: 0.3142 0.3142 0.2258
Cs: 0.6858 0.6858 0.7742
Cs: 0.9507 0.9507 0.6605
Rb: 0.1347 0.1347 0.9571
Rb: 0.1989 0.1989 0.5762
Rb: 0.4122 0.4122 0.8658
Rb: 0.5000 0.5000 0.5000
Rb: 0.5878 0.5878 0.1342
Rb: 0.8011 0.8011 0.4238
Rb: 0.8653 0.8653 0.0429
Pt: 0.0000 0.0000 0.5000

Properties
ΔE_f ... 0.010 eV per atom
Space-group type ... C2/m, No. 12
VASP energy ... -1.3427 eV/atom

***

Here is a relaxed TbCeGeRh crystal from Alexandria via LeMat-Bulk. Energies are from PBE.

abc: 4.2982 5.4183 5.4183
angles: 46.34 90.00 90.00
Fractional coordinates of all 4 atoms:
Tb: 0.0000 0.0000 0.0000
Ce: 0.5000 0.7119 0.7119
Ge: 0.0000 0.2921 0.2921
Rh: 0.5000 0.4554 0.4554

Properties
Energy above the most stable polymorph in this dataset ... 0.000 eV per atom
ΔE_f ... -0.813 eV per atom
Space-group type ... Amm2, No. 38
VASP energy ... -6.4466 eV/atom

***

Here is a relaxed Ba2TiMnS crystal from Alexandria via LeMat-Bulk. Energies are from PBE.

abc: 5.9303 5.9303 4.2235
angles: 90.00 90.00 90.00
Fractional coordinates of all 5 atoms:
Ba: 0.0000 0.5000 0.0000
Ba: 0.5000 0.0000 0.0000
Ti: 0.0000 0.0000 0.5000
Mn: 0.0000 0.0000 0.0000
S: 0.5000 0.5000 0.5000

Properties
Energy relative to the elements, uncorrected ... 0.147 eV per atom
Space-group type ... P4/mmm, No. 123
VASP energy ... -4.8601 eV/atom